VASP calculation (PBE with a Hubbard U) on a relaxed structure of Rb2NaMnO4.

Structure (POSCAR):
```
Rb2NaMnO4
1.0
5.458 0.000 0.000
2.729 5.897 0.000
2.729 0.000 10.708
Rb Na Mn O
4 2 2 8
direct
0.179 0.000 0.642 Rb
0.821 0.000 0.358 Rb
0.571 0.500 0.858 Rb
0.929 0.500 0.142 Rb
0.750 0.500 0.500 Na
0.000 0.000 0.000 Na
0.250 0.500 0.500 Mn
0.500 0.000 0.000 Mn
0.357 0.826 0.089 O
0.272 0.174 0.911 O
0.817 0.826 0.911 O
0.554 0.174 0.089 O
0.393 0.674 0.411 O
0.478 0.326 0.589 O
0.933 0.674 0.589 O
0.196 0.326 0.411 O
```

## Properties
E: -5.12 eV/atom
ρ: 3.01 g cm⁻³
polymorph energy (0 for the lowest one): 0.170 eV/atom
DOS at the Fermi energy: 0.000 states/eV/cell